# B3TeIr PBE optimized geometry
# Electronic total energy, eV/cell: -18.86
# Crystal system: cubic
# Calculated volume, Å³ per cell: 80.4
# ρ, g cm⁻³: 7.28
# Formation energy without anion corrections, meV per atom: 2635
# DOS at the Fermi energy, states/eV/f.u.: 3.766
data_B3TeIr
_symmetry_space_group_name_H-M 'P m -3 m'
_symmetry_Int_Tables_number 221
_symmetry_space_group_name_Hall '-P 4 2 3'
_cell_length_a 4.3159
_cell_length_b 4.3159
_cell_length_c 4.3159
_cell_angle_alpha 90.00
_cell_angle_beta 90.00
_cell_angle_gamma 90.00
loop_
_atom_site_label
_atom_site_type_symbol
_atom_site_fract_x
_atom_site_fract_y
_atom_site_fract_z
B1 B 0.0000 0.0000 0.5000
Te1 Te 0.0000 0.0000 0.0000
Ir1 Ir 0.5000 0.5000 0.5000